(1)
# PBE CePrSmTc, relaxed
# Formation energy from the elements ... 108.6 meV/atom
data_CePrSmTc
_space_group_name_H-M_alt 'R 3 m'
_space_group_IT_number 160
_space_group_name_Hall 'R 3 -2"'
_cell_length_a 4.4281
_cell_length_b 4.4281
_cell_length_c 20.9620
_cell_angle_alpha 90.00
_cell_angle_beta 90.00
_cell_angle_gamma 120.00
loop_
_atom_site_label
_atom_site_type_symbol
_atom_site_fract_x
_atom_site_fract_y
_atom_site_fract_z
Ce1 Ce 0.0000 0.0000 0.0000
Pr1 Pr 0.0000 0.0000 0.5586
Sm1 Sm 0.0000 0.0000 0.7704
Tc1 Tc 0.0000 0.0000 0.3477

(2)
# PBE TaCdAs, relaxed
# Formation energy from the elements ... 611.9 meV/atom
# Energy relative to the lowest polymorph listed for this composition ... 569 meV per atom
data_TaCdAs
_space_group_name_H-M_alt 'F -4 3 m'
_space_group_IT_number 216
_space_group_name_Hall 'F -4 2 3'
_cell_length_a 6.447
_cell_length_b 6.447
_cell_length_c 6.447
_cell_angle_alpha 90.00
_cell_angle_beta 90.00
_cell_angle_gamma 90.00
loop_
_atom_site_label
_atom_site_type_symbol
_atom_site_fract_x
_atom_site_fract_y
_atom_site_fract_z
Ta1 Ta 0.000 0.000 0.000
Cd1 Cd 0.250 0.250 0.750
As1 As 0.250 0.250 0.250

(3)
# PBE BaPmMg2, relaxed
# Formation energy from the elements ... -50.9 meV/atom
# Energy relative to the lowest polymorph listed for this composition ... 0 meV per atom
data_BaPmMg2
_space_group_name_H-M_alt 'P 4/m m m'
_space_group_IT_number 123
_space_group_name_Hall '-P 4 2'
_cell_length_a 4.053
_cell_length_b 4.053
_cell_length_c 8.387
_cell_angle_alpha 90.00
_cell_angle_beta 90.00
_cell_angle_gamma 90.00
loop_
_atom_site_label
_atom_site_type_symbol
_atom_site_fract_x
_atom_site_fract_y
_atom_site_fract_z
Ba1 Ba 0.000 0.000 0.000
Pm1 Pm 0.000 0.000 0.500
Mg1 Mg 0.500 0.500 0.292

(4)
# PBE CoSbPb2, relaxed
# E_form (uncorrected) ... 0.5633 eV/atom
# Energy relative to the lowest polymorph listed for this composition ... 433 meV per atom
data_CoSbPb2
_space_group_name_H-M_alt 'P 1 2/m 1'
_space_group_IT_number 10
_space_group_name_Hall '-P 2y'
_cell_length_a 5.028
_cell_length_b 4.094
_cell_length_c 5.063
_cell_angle_alpha 90.00
_cell_angle_beta 102.35
_cell_angle_gamma 90.00
loop_
_atom_site_label
_atom_site_type_symbol
_atom_site_fract_x
_atom_site_fract_y
_atom_site_fract_z
Co1 Co 0.000 0.000 0.000
Sb1 Sb 0.500 0.500 0.000
Pb1 Pb 0.000 0.500 0.500
Pb2 Pb 0.500 0.000 0.500

(5)
# PBE AgSb2Br, relaxed
# E_form (uncorrected) ... 0.2444 eV/atom
# Energy relative to the lowest polymorph listed for this composition ... 370 meV per atom
data_AgSb2Br
_space_group_name_H-M_alt 'P 4/m m m'
_space_group_IT_number 123
_space_group_name_Hall '-P 4 2'
_cell_length_a 5.577
_cell_length_b 5.577
_cell_length_c 3.228
_cell_angle_alpha 90.00
_cell_angle_beta 90.00
_cell_angle_gamma 90.00
loop_
_atom_site_label
_atom_site_type_symbol
_atom_site_fract_x
_atom_site_fract_y
_atom_site_fract_z
Ag1 Ag 0.000 0.000 0.000
Sb1 Sb 0.000 0.500 0.500
Br1 Br 0.500 0.500 0.000

(6)
# PBE KSrPm2Te4, relaxed
# E_form (uncorrected) ... -1.4757 eV/atom
data_KSrPm2Te4
_space_group_name_H-M_alt 'P 1 2/m 1'
_space_group_IT_number 10
_space_group_name_Hall '-P 2y'
_cell_length_a 7.915
_cell_length_b 4.555
_cell_length_c 8.268
_cell_angle_alpha 90.00
_cell_angle_beta 108.37
_cell_angle_gamma 90.00
loop_
_atom_site_label
_atom_site_type_symbol
_atom_site_fract_x
_atom_site_fract_y
_atom_site_fract_z
K1 K 0.000 0.000 0.000
Sr1 Sr 0.500 0.500 0.000
Pm1 Pm 0.000 0.500 0.500
Pm2 Pm 0.500 0.000 0.500
Te1 Te 0.247 0.000 0.733
Te2 Te 0.262 0.500 0.273

Computed values of density (unit: g/cm3) for the preceding records, in sequence: 7.408; 9.130; 3.989; 9.705; 7.134; 5.442.
Computed values of electronic total energy (unit: eV for the cell shown) for the preceding records, in sequence: -76.09; -62.33; -10.07; -16.39; -11.79; -36.65.